8
Lattice="4.6721 0.0000 0.0000 0.0000 4.6721 0.0000 0.0000 0.0000 6.6127" Properties=species:S:1:pos:R:3 comment="GGA-PBE DyErGa2Pd4, optimized geometry" de_polymorph_ev_per_fu=0.61 density_g_cm3=10.29 sg="P4/mmm (123)" e_tot_ev_per_cell=-42.5 pbc="T T T"
Dy 0.0000 0.0000 0.0000
Er 2.3360 2.3360 3.3064
Ga 2.3360 2.3360 0.0000
Ga 0.0000 0.0000 3.3064
Pd 2.3360 0.0000 1.6616
Pd 0.0000 2.3360 1.6616
Pd 2.3360 0.0000 4.9512
Pd 0.0000 2.3360 4.9512

8
Lattice="-1.5751 3.7909 -2.2595 -2.2990 -2.7527 -3.0158 -5.3318 0.1343 3.9419" Properties=species:S:1:pos:R:3 comment="GGA-PBE DyErGa2Pt4, optimized geometry" de_polymorph_ev_per_fu=1.34 density_g_cm3=14.25 sg="P4/mmm (123)" e_tot_ev_per_cell=-46.7 pbc="T T T"
Dy 0.0000 0.0000 0.0000
Er -4.6029 0.5862 -0.6667
Ga -1.9370 0.5191 -2.6376
Ga -2.6659 0.0671 1.9710
Pt -2.1295 1.9292 -0.1376
Pt -2.4914 -1.3426 -0.5157
Pt -4.7773 1.9959 1.8200
Pt -5.1393 -1.2759 1.4419